1.
Density functional theory data (PBE) for crystalline Cd2PPt6 at its relaxed geometry.

```
Cd2PPt6
1.0
4.871 -2.819 0.000
4.871 2.819 0.000
-1.600 0.000 5.602
Cd P Pt
2 1 6
direct
0.140 0.140 0.336
0.860 0.860 0.664
0.500 0.500 0.500
0.112 0.624 0.207
0.376 0.888 0.793
0.378 0.378 0.791
0.622 0.622 0.209
0.624 0.112 0.207
0.888 0.376 0.793
```

Properties
* V: 17.10 Å³/atom
* final energy: -5.16 eV per atom

2.
Density functional theory data (PBE) for crystalline Pa3FeSb at its relaxed geometry.

```
Pa3FeSb
1.0
5.003 0.000 0.000
0.000 5.003 0.000
0.000 0.000 5.003
Pa Fe Sb
3 1 1
direct
0.000 0.000 0.500
0.000 0.500 0.000
0.500 0.000 0.000
0.000 0.000 0.000
0.500 0.500 0.500
```

Properties
* V: 25.04 Å³/atom
* final energy: -8.32 eV per atom
* uncorrected formation energy: -9.78 kJ per mole of atoms

3.
Density functional theory data (PBE) for crystalline Ba2Ce3Te6 at its relaxed geometry.

```
Ba2Ce3Te6
1.0
4.000 -6.922 0.000
4.000 6.922 0.000
-2.657 0.000 8.086
Ba Ce Te
2 3 6
direct
0.167 0.833 0.000
0.833 0.167 0.000
0.000 0.000 0.500
0.334 0.666 0.500
0.666 0.334 0.500
0.075 0.408 0.723
0.260 0.260 0.276
0.408 0.075 0.723
0.592 0.925 0.277
0.740 0.740 0.724
0.925 0.592 0.277
```

Properties
* V: 40.70 Å³/atom
* final energy: -5.17 eV per atom
* uncorrected formation energy: -143.81 kJ per mole of atoms

4.
Density functional theory data (PBE) for crystalline Ca2Ga3Pt4Rh at its relaxed geometry.

```
Ca2Ga3Pt4Rh
1.0
4.093 0.000 0.000
0.000 4.093 0.000
0.000 0.000 11.230
Ca Ga Pt Rh
2 3 4 1
direct
0.000 0.500 0.243
0.500 0.000 0.757
0.000 0.000 0.000
0.000 0.500 0.633
0.500 0.000 0.367
0.000 0.000 0.500
0.000 0.500 0.850
0.500 0.000 0.150
0.500 0.500 0.500
0.500 0.500 0.000
```

Properties
* V: 18.81 Å³/atom
* final energy: -5.24 eV per atom

5.
Density functional theory data (PBE) for crystalline ZrSc4Sb at its relaxed geometry.

```
ZrSc4Sb
1.0
0.000 4.155 4.155
4.155 0.000 4.155
4.155 4.155 0.000
Zr Sc Sb
1 4 1
direct
0.000 0.000 0.000
0.373 0.373 0.373
0.373 0.373 0.880
0.373 0.880 0.373
0.880 0.373 0.373
0.750 0.750 0.750
```

Properties
* V: 23.90 Å³/atom
* final energy: -6.23 eV per atom
* uncorrected formation energy: 10.30 kJ per mole of atoms

6.
Density functional theory data (PBE) for crystalline Sr2MnAu2 at its relaxed geometry.

```
Sr2MnAu2
1.0
6.131 0.000 0.000
0.000 6.131 0.000
0.000 0.000 8.046
Sr Mn Au
4 2 4
direct
0.000 0.500 0.250
0.000 0.500 0.750
0.500 0.000 0.250
0.500 0.000 0.750
0.000 0.000 0.000
0.500 0.500 0.500
0.000 0.000 0.330
0.000 0.000 0.670
0.500 0.500 0.170
0.500 0.500 0.830
```

Properties
* V: 30.24 Å³/atom
* final energy: -4.03 eV per atom

7.
Density functional theory data (PBE) for crystalline Ga2SnSb2 at its relaxed geometry.

```
Ga2SnSb2
1.0
5.391 0.000 0.000
0.000 5.391 0.000
0.000 0.000 8.884
Ga Sn Sb
4 2 4
direct
0.000 0.000 0.141
0.000 0.000 0.859
0.500 0.500 0.359
0.500 0.500 0.641
0.000 0.000 0.500
0.500 0.500 0.000
0.000 0.500 0.250
0.000 0.500 0.750
0.500 0.000 0.250
0.500 0.000 0.750
```

Properties
* E above lowest polymorph: 22.1 meV per atom
* V: 25.82 Å³/atom
* final energy: -3.55 eV per atom
* uncorrected formation energy: 10.38 kJ per mole of atoms

8.
Density functional theory data (PBE) for crystalline Tl2HgPb at its relaxed geometry.

```
Tl2HgPb
1.0
3.491 0.000 0.000
-1.746 3.024 0.000
0.000 0.000 33.985
Tl Hg Pb
6 3 3
direct
0.000 0.000 0.000
0.000 0.000 0.247
0.333 0.667 0.667
0.333 0.667 0.914
0.667 0.333 0.333
0.667 0.333 0.580
0.000 0.000 0.501
0.333 0.667 0.168
0.667 0.333 0.835
0.000 0.000 0.752
0.333 0.667 0.419
0.667 0.333 0.086
```

Properties
* V: 29.90 Å³/atom
* final energy: -2.17 eV per atom